Record 1
PmY4Sn4 (GGA-PBE, optimized geometry); space-group type = P4_2/n (86); ΔE_f = -467 meV/atom; D(E_F) = 9.06 states/eV/f.u.
1.0
6.1434 0.0000 0.0000
0.0000 9.8550 0.0000
0.0000 0.0000 9.8550
Pm Sn Y
2 8 8
Cartesian
3.0717 4.9275 4.9275
0.0000 0.0000 0.0000
3.6956 7.7281 3.5946
3.6956 2.1270 6.2605
2.4478 6.2605 7.7281
5.5195 2.8005 8.5221
0.6239 8.5221 7.0545
5.5195 7.0545 1.3330
0.6239 1.3330 2.8005
2.4478 3.5946 2.1270
5.4684 5.9223 8.3020
3.7468 0.9947 3.3745
2.3966 6.4805 0.9947
0.6751 1.5530 5.9223
3.7468 8.8603 6.4805
0.6751 8.3020 3.9328
5.4684 3.9328 1.5530
2.3966 3.3745 8.8603



Record 2
Pm3Y2Sn3 (GGA-PBE, optimized geometry); space-group type = Immm (71); ΔE_f = -562 meV/atom; D(E_F) = 8.08 states/eV/f.u.
1.0
-1.5219 0.0972 4.1315
4.3035 -1.9196 1.6304
2.5194 10.7050 -1.6711
Pm Sn Y
3 3 2
Cartesian
2.3159 1.4058 3.1672
-0.7609 0.0486 2.0658
2.9851 7.4768 0.9236
4.2421 6.2303 3.7632
1.0589 2.6523 0.3276
2.1518 -0.9598 0.8152
4.1601 4.0705 1.4366
1.1409 4.8121 2.6542



Record 3
PmY2Sn (GGA-PBE, optimized geometry); space-group type = P4/mmm (123); ΔE_f = -426 meV/atom; D(E_F) = 5.58 states/eV/f.u.; offset from the most stable computed form = 0.000 eV/atom
1.0
-4.2981 0.3149 2.1543
-2.2046 -0.4047 -4.3393
-0.1027 -4.8568 0.5051
Sn Y Pm
1 2 1
Cartesian
-2.1490 0.1574 1.0772
-1.1023 -0.2024 -2.1697
-0.0513 -2.4284 0.2526
-3.3027 -2.4733 -0.8399



Record 4
PmY4Sn2 (GGA-PBE, optimized geometry); space-group type = I4/mmm (139); ΔE_f = 360 meV/atom; D(E_F) = 9.07 states/eV/f.u.
1.0
-4.0223 0.4132 3.4155
2.7094 -2.8578 3.5365
3.9683 8.1513 -0.4140
Y Sn Pm
4 2 1
Cartesian
-2.0111 0.2066 1.7077
1.4281 3.1388 5.4032
1.2273 2.5678 1.1348
1.3547 -1.4289 1.7682
0.2037 0.5772 4.2712
2.4517 5.1294 2.2668
0.0000 0.0000 0.0000